The following is a PBE+U calculation of crystalline Cu2RuWF at its relaxed geometry, from Alexandria via LeMat-Bulk.

Final energy (eV for the cell shown): -23.2
Density of states at the Fermi level (states/eV per cell): 3.4
Total moment (μB per formula unit): 2.40

CIF file:
```
data_Cu2RuWF
_chemical_formula_sum 'Cu2 Ru1 W1 F1'
_cell_length_a 4.096
_cell_length_b 4.096
_cell_length_c 4.360
_cell_angle_alpha 90.00
_cell_angle_beta 90.00
_cell_angle_gamma 90.00
_symmetry_space_group_name_H-M 'P 4/m m m'
_symmetry_Int_Tables_number 123
_symmetry_space_group_name_Hall '-P 4 2'
loop_
_atom_site_label
_atom_site_type_symbol
_atom_site_fract_x
_atom_site_fract_y
_atom_site_fract_z
Cu1 Cu 0.000 0.500 0.000
Ru1 Ru 0.000 0.000 0.500
W1 W 0.500 0.500 0.500
F1 F 0.000 0.000 0.000
```